A plane-wave DFT calculation with GGA-PBE was carried out for a relaxed Ca5Pd crystal.

For the energy relative to the lowest polymorph listed for this composition, the calculation gives 0.0 meV per atom. Its formation energy is -0.266 eV per atom. The symmetry is No. 51. As for the magnetic moment: 0.000 μB per formula unit.

The structure in POSCAR format:
```
Ca5Pd
1.0
10.837 0.000 0.000
0.000 4.286 0.000
0.000 0.000 9.080
Ca Pd
10 2
direct
0.000 0.000 0.000 Ca
0.077 0.500 0.312 Ca
0.250 0.000 0.596 Ca
0.250 0.500 0.950 Ca
0.423 0.500 0.312 Ca
0.500 0.000 0.000 Ca
0.577 0.500 0.688 Ca
0.750 0.000 0.404 Ca
0.750 0.500 0.050 Ca
0.923 0.500 0.688 Ca
0.250 0.000 0.189 Pd
0.750 0.000 0.811 Pd
```


A plane-wave DFT calculation with GGA-PBE was carried out for a relaxed Ca5Pd4 crystal.

Its formation energy is -0.627 eV per atom. The symmetry is No. 12. As for the magnetic moment: 0.000 μB per formula unit.

The structure in POSCAR format:
```
Ca5Pd4
1.0
5.506 -2.107 0.000
5.506 2.107 0.000
-3.860 0.000 9.702
Ca Pd
5 4
direct
0.000 0.000 0.000 Ca
0.105 0.105 0.395 Ca
0.241 0.241 0.822 Ca
0.759 0.759 0.178 Ca
0.895 0.895 0.605 Ca
0.384 0.384 0.387 Pd
0.452 0.452 0.159 Pd
0.548 0.548 0.841 Pd
0.616 0.616 0.613 Pd
```


A plane-wave DFT calculation with GGA-PBE was carried out for a relaxed CaPd6 crystal.

For the energy relative to the lowest polymorph listed for this composition, the calculation gives 0.0 meV per atom. Its formation energy is -0.256 eV per atom. The symmetry is No. 62. As for the magnetic moment: 0.001 μB per formula unit.

The structure in POSCAR format:
```
CaPd6
1.0
8.743 0.000 0.000
0.000 5.339 0.000
0.000 0.000 10.639
Ca Pd
4 24
direct
0.245 0.250 0.059 Ca
0.255 0.750 0.559 Ca
0.745 0.250 0.441 Ca
0.755 0.750 0.941 Ca
0.062 0.750 0.076 Pd
0.063 0.005 0.302 Pd
0.063 0.495 0.302 Pd
0.107 0.250 0.519 Pd
0.158 0.750 0.840 Pd
0.184 0.250 0.768 Pd
0.316 0.750 0.268 Pd
0.342 0.250 0.340 Pd
0.393 0.750 0.019 Pd
0.437 0.505 0.802 Pd
0.437 0.995 0.802 Pd
0.438 0.250 0.576 Pd
0.562 0.750 0.424 Pd
0.563 0.005 0.198 Pd
0.563 0.495 0.198 Pd
0.607 0.250 0.981 Pd
0.658 0.750 0.660 Pd
0.684 0.250 0.732 Pd
0.816 0.750 0.232 Pd
0.842 0.250 0.160 Pd
0.893 0.750 0.481 Pd
0.937 0.505 0.698 Pd
0.937 0.995 0.698 Pd
0.938 0.250 0.924 Pd
```


A plane-wave DFT calculation with GGA-PBE was carried out for a relaxed CaPd2 crystal.

Its formation energy is -0.395 eV per atom. The symmetry is No. 139. As for the magnetic moment: 0.000 μB per formula unit.

The structure in POSCAR format:
```
CaPd2
1.0
3.822 0.000 0.000
0.000 3.822 0.000
0.000 0.000 9.151
Ca Pd
2 4
direct
0.000 0.000 0.000 Ca
0.500 0.500 0.500 Ca
0.000 0.500 0.250 Pd
0.000 0.500 0.750 Pd
0.500 0.000 0.250 Pd
0.500 0.000 0.750 Pd
```


A plane-wave DFT calculation with GGA-PBE was carried out for a relaxed Ca4Pd crystal.

For the energy relative to the lowest polymorph listed for this composition, the calculation gives 0.0 meV per atom. Its formation energy is -0.306 eV per atom. The symmetry is No. 15. As for the magnetic moment: 0.000 μB per formula unit.

The structure in POSCAR format:
```
Ca4Pd
1.0
4.849 -7.348 0.000
4.849 7.348 0.000
-4.078 0.000 4.788
Ca Pd
8 2
direct
0.021 0.684 0.853 Ca
0.240 0.391 0.815 Ca
0.316 0.979 0.647 Ca
0.391 0.240 0.315 Ca
0.609 0.760 0.685 Ca
0.684 0.021 0.353 Ca
0.760 0.609 0.185 Ca
0.979 0.316 0.147 Ca
0.000 0.000 0.250 Pd
0.000 0.000 0.750 Pd
```


A plane-wave DFT calculation with GGA-PBE was carried out for a relaxed Ca5Pd crystal.

For the energy relative to the lowest polymorph listed for this composition, the calculation gives 142.3 meV per atom. Its formation energy is -0.123 eV per atom. The symmetry is No. 65. As for the magnetic moment: 0.000 μB per formula unit.

The structure in POSCAR format:
```
Ca5Pd
1.0
4.283 0.000 0.000
0.000 16.387 0.000
0.000 0.000 5.788
Ca Pd
10 2
direct
0.000 0.000 0.000 Ca
0.000 0.132 0.500 Ca
0.000 0.333 0.000 Ca
0.000 0.667 0.000 Ca
0.000 0.868 0.500 Ca
0.500 0.167 0.000 Ca
0.500 0.368 0.500 Ca
0.500 0.500 0.000 Ca
0.500 0.632 0.500 Ca
0.500 0.833 0.000 Ca
0.000 0.500 0.500 Pd
0.500 0.000 0.500 Pd
```


A plane-wave DFT calculation with GGA-PBE was carried out for a relaxed CaPd4 crystal.

Its formation energy is 0.880 eV per atom. The symmetry is No. 221. As for the magnetic moment: 0.000 μB per formula unit.

The structure in POSCAR format:
```
CaPd4
1.0
4.821 0.000 0.000
0.000 4.821 0.000
0.000 0.000 4.821
Ca Pd
1 4
direct
0.000 0.000 0.000 Ca
0.000 0.000 0.500 Pd
0.000 0.500 0.000 Pd
0.500 0.000 0.000 Pd
0.500 0.500 0.500 Pd
```


A plane-wave DFT calculation with GGA-PBE was carried out for a relaxed Ca3Pd crystal.

Its formation energy is -0.440 eV per atom. The symmetry is No. 62. As for the magnetic moment: 0.000 μB per formula unit.

The structure in POSCAR format:
```
Ca3Pd
1.0
7.792 0.000 0.000
0.000 9.705 0.000
0.000 0.000 6.622
Ca Pd
12 4
direct
0.039 0.250 0.140 Ca
0.172 0.065 0.662 Ca
0.172 0.435 0.662 Ca
0.328 0.565 0.162 Ca
0.328 0.935 0.162 Ca
0.461 0.750 0.640 Ca
0.539 0.250 0.360 Ca
0.672 0.065 0.838 Ca
0.672 0.435 0.838 Ca
0.828 0.565 0.338 Ca
0.828 0.935 0.338 Ca
0.961 0.750 0.860 Ca
0.123 0.750 0.451 Pd
0.377 0.250 0.951 Pd
0.623 0.750 0.049 Pd
0.877 0.250 0.549 Pd
```


A plane-wave DFT calculation with GGA-PBE was carried out for a relaxed Ca3Pd crystal.

Its formation energy is -0.404 eV per atom. The symmetry is No. 86. As for the magnetic moment: 0.000 μB per formula unit.

The structure in POSCAR format:
```
Ca3Pd
1.0
12.361 0.000 0.000
0.000 12.361 0.000
0.000 0.000 6.378
Ca Pd
24 8
direct
0.030 0.917 0.218 Ca
0.083 0.530 0.718 Ca
0.118 0.293 0.019 Ca
0.129 0.834 0.710 Ca
0.166 0.629 0.210 Ca
0.207 0.118 0.481 Ca
0.293 0.382 0.481 Ca
0.334 0.871 0.210 Ca
0.371 0.666 0.710 Ca
0.382 0.207 0.019 Ca
0.417 0.970 0.718 Ca
0.470 0.583 0.218 Ca
0.530 0.417 0.782 Ca
0.583 0.030 0.282 Ca
0.618 0.793 0.981 Ca
0.629 0.334 0.290 Ca
0.666 0.129 0.790 Ca
0.707 0.618 0.519 Ca
0.793 0.882 0.519 Ca
0.834 0.371 0.790 Ca
0.871 0.166 0.290 Ca
0.882 0.707 0.981 Ca
0.917 0.470 0.282 Ca
0.970 0.083 0.782 Ca
0.041 0.302 0.537 Pd
0.198 0.041 0.963 Pd
0.302 0.459 0.963 Pd
0.459 0.198 0.537 Pd
0.541 0.802 0.463 Pd
0.698 0.541 0.037 Pd
0.802 0.959 0.037 Pd
0.959 0.698 0.463 Pd
```


A plane-wave DFT calculation with GGA-PBE was carried out for a relaxed Ca6Pd5 crystal.

Its formation energy is -0.633 eV per atom. The symmetry is No. 71. As for the magnetic moment: 0.000 μB per formula unit.

The structure in POSCAR format:
```
Ca6Pd5
1.0
-2.491 3.562 7.458
2.491 -3.562 7.458
2.491 3.562 -7.458
Ca Pd
6 5
direct
0.082 0.332 0.750 Ca
0.249 0.000 0.249 Ca
0.417 0.668 0.750 Ca
0.583 0.332 0.250 Ca
0.751 0.000 0.751 Ca
0.918 0.668 0.250 Ca
0.000 0.500 0.500 Pd
0.166 0.166 0.000 Pd
0.331 0.831 0.500 Pd
0.669 0.169 0.500 Pd
0.834 0.834 0.000 Pd
```


A plane-wave DFT calculation with GGA-PBE was carried out for a relaxed Ca6Pd crystal.

Its formation energy is -0.227 eV per atom. The symmetry is No. 62. As for the magnetic moment: 0.000 μB per formula unit.

The structure in POSCAR format:
```
Ca6Pd
1.0
13.074 0.000 0.000
0.000 11.916 0.000
0.000 0.000 6.826
Ca Pd
24 4
direct
0.001 0.080 0.247 Ca
0.001 0.420 0.247 Ca
0.003 0.250 0.741 Ca
0.245 0.750 0.917 Ca
0.248 0.582 0.413 Ca
0.248 0.918 0.413 Ca
0.252 0.082 0.913 Ca
0.252 0.418 0.913 Ca
0.255 0.250 0.417 Ca
0.497 0.750 0.241 Ca
0.499 0.580 0.747 Ca
0.499 0.920 0.747 Ca
0.501 0.080 0.253 Ca
0.501 0.420 0.253 Ca
0.503 0.250 0.759 Ca
0.745 0.750 0.583 Ca
0.748 0.582 0.087 Ca
0.748 0.918 0.087 Ca
0.752 0.082 0.587 Ca
0.752 0.418 0.587 Ca
0.755 0.250 0.083 Ca
0.997 0.750 0.259 Ca
0.999 0.580 0.753 Ca
0.999 0.920 0.753 Ca
0.126 0.250 0.083 Pd
0.374 0.750 0.583 Pd
0.626 0.250 0.417 Pd
0.874 0.750 0.917 Pd
```


A plane-wave DFT calculation with GGA-PBE was carried out for a relaxed Ca3PmPd4 crystal.

Its formation energy is -0.719 eV per atom. The symmetry is No. 123. As for the magnetic moment: 0.000 μB per formula unit.

The structure in POSCAR format:
```
Ca3PmPd4
1.0
3.557 0.000 0.000
0.000 3.557 0.000
0.000 0.000 14.213
Ca Pm Pd
3 1 4
direct
0.000 0.000 0.000 Ca
0.000 0.000 0.246 Ca
0.000 0.000 0.754 Ca
0.000 0.000 0.500 Pm
0.500 0.500 0.124 Pd
0.500 0.500 0.379 Pd
0.500 0.500 0.621 Pd
0.500 0.500 0.876 Pd
```


A plane-wave DFT calculation with GGA-PBE was carried out for a relaxed CaPmPd2 crystal.

For the energy relative to the lowest polymorph listed for this composition, the calculation gives 176.1 meV per atom. Its formation energy is -0.583 eV per atom. The symmetry is No. 160. As for the magnetic moment: 0.000 μB per formula unit.

The structure in POSCAR format:
```
CaPmPd2
1.0
4.056 0.000 0.000
-2.028 3.513 0.000
0.000 0.000 21.599
Ca Pm Pd
3 3 6
direct
0.000 0.000 0.000 Ca
0.333 0.667 0.667 Ca
0.667 0.333 0.333 Ca
0.000 0.000 0.171 Pm
0.333 0.667 0.838 Pm
0.667 0.333 0.505 Pm
0.000 0.000 0.586 Pd
0.000 0.000 0.754 Pd
0.333 0.667 0.253 Pd
0.333 0.667 0.420 Pd
0.667 0.333 0.087 Pd
0.667 0.333 0.920 Pd
```


A plane-wave DFT calculation with GGA-PBE was carried out for a relaxed CaPmPd2 crystal.

For the energy relative to the lowest polymorph listed for this composition, the calculation gives 0.0 meV per atom. Its formation energy is -0.760 eV per atom. The symmetry is No. 123. As for the magnetic moment: 0.000 μB per formula unit.

The structure in POSCAR format:
```
CaPmPd2
1.0
3.576 0.000 0.000
0.000 3.576 0.000
0.000 0.000 7.128
Ca Pm Pd
1 1 2
direct
0.000 0.000 0.000 Ca
0.000 0.000 0.500 Pm
0.500 0.500 0.262 Pd
0.500 0.500 0.738 Pd
```


A plane-wave DFT calculation with GGA-PBE was carried out for a relaxed CaPm2Pd2 crystal.

For the energy relative to the lowest polymorph listed for this composition, the calculation gives 78.9 meV per atom. Its formation energy is -0.579 eV per atom. The symmetry is No. 12. As for the magnetic moment: 0.000 μB per formula unit.

The structure in POSCAR format:
```
CaPm2Pd2
1.0
8.754 0.000 0.000
0.000 5.056 0.000
-0.014 0.000 6.084
Ca Pm Pd
2 4 4
direct
0.000 0.000 0.000 Ca
0.500 0.500 0.000 Ca
0.167 0.500 0.324 Pm
0.333 0.000 0.676 Pm
0.667 0.000 0.324 Pm
0.833 0.500 0.676 Pm
0.167 0.500 0.815 Pd
0.333 0.000 0.185 Pd
0.667 0.000 0.815 Pd
0.833 0.500 0.185 Pd
```


A plane-wave DFT calculation with GGA-PBE was carried out for a relaxed Ca3Pm2Pd4 crystal.

Its formation energy is -0.691 eV per atom. The symmetry is No. 14. As for the magnetic moment: 0.000 μB per formula unit.

The structure in POSCAR format:
```
Ca3Pm2Pd4
1.0
7.898 0.000 0.000
0.000 7.889 0.000
-2.394 0.000 7.112
Ca Pm Pd
6 4 8
direct
0.000 0.000 0.000 Ca
0.000 0.500 0.500 Ca
0.252 0.175 0.753 Ca
0.252 0.325 0.253 Ca
0.748 0.675 0.747 Ca
0.748 0.825 0.247 Ca
0.309 0.681 0.933 Pm
0.309 0.819 0.433 Pm
0.691 0.181 0.567 Pm
0.691 0.319 0.067 Pm
0.028 0.632 0.130 Pd
0.028 0.868 0.630 Pd
0.427 0.027 0.153 Pd
0.427 0.473 0.653 Pd
0.573 0.527 0.347 Pd
0.573 0.973 0.847 Pd
0.972 0.132 0.370 Pd
0.972 0.368 0.870 Pd
```


A plane-wave DFT calculation with GGA-PBE was carried out for a relaxed CaPmPd10 crystal.

Its formation energy is -0.441 eV per atom. The symmetry is No. 47. As for the magnetic moment: 0.000 μB per formula unit.

The structure in POSCAR format:
```
CaPmPd10
1.0
4.488 0.000 0.000
0.000 5.339 0.000
0.000 0.000 9.252
Ca Pm Pd
1 1 10
direct
0.000 0.000 0.000 Ca
0.000 0.500 0.500 Pm
0.000 0.000 0.334 Pd
0.000 0.000 0.666 Pd
0.000 0.500 0.168 Pd
0.000 0.500 0.832 Pd
0.500 0.000 0.500 Pd
0.500 0.251 0.252 Pd
0.500 0.251 0.748 Pd
0.500 0.500 0.000 Pd
0.500 0.749 0.252 Pd
0.500 0.749 0.748 Pd
```


A plane-wave DFT calculation with GGA-PBE was carried out for a relaxed CaPm4Pd2 crystal.

For the energy relative to the lowest polymorph listed for this composition, the calculation gives 0.0 meV per atom. Its formation energy is -0.404 eV per atom. The symmetry is No. 1. As for the magnetic moment: 0.000 μB per formula unit.

The structure in POSCAR format:
```
CaPm4Pd2
1.0
6.367 0.000 0.000
-2.722 8.035 0.000
-1.364 -2.646 8.164
Ca Pm Pd
2 8 4
direct
0.000 0.000 0.000 Ca
0.106 0.571 0.008 Ca
0.026 0.152 0.652 Pm
0.294 0.436 0.377 Pm
0.362 0.865 0.711 Pm
0.389 0.023 0.367 Pm
0.549 0.563 0.829 Pm
0.618 0.270 0.079 Pm
0.756 0.752 0.293 Pm
0.848 0.462 0.535 Pm
0.502 0.892 0.052 Pd
0.589 0.233 0.721 Pd
0.794 0.788 0.642 Pd
0.894 0.125 0.314 Pd
```


A plane-wave DFT calculation with GGA-PBE was carried out for a relaxed Ca2PmPd3 crystal.

For the energy relative to the lowest polymorph listed for this composition, the calculation gives 0.0 meV per atom. Its formation energy is -0.734 eV per atom. The symmetry is No. 65. As for the magnetic moment: 0.000 μB per formula unit.

The structure in POSCAR format:
```
Ca2PmPd3
1.0
2.511 -7.490 0.000
2.511 7.490 0.000
0.000 0.000 7.201
Ca Pm Pd
4 2 6
direct
0.000 0.000 0.000 Ca
0.000 0.000 0.500 Ca
0.333 0.667 0.000 Ca
0.667 0.333 0.000 Ca
0.337 0.663 0.500 Pm
0.663 0.337 0.500 Pm
0.171 0.829 0.262 Pd
0.171 0.829 0.738 Pd
0.500 0.500 0.251 Pd
0.500 0.500 0.749 Pd
0.829 0.171 0.262 Pd
0.829 0.171 0.738 Pd
```


A plane-wave DFT calculation with GGA-PBE was carried out for a relaxed Ca5PmPd6 crystal.

Its formation energy is -0.706 eV per atom. The symmetry is No. 10. As for the magnetic moment: 0.000 μB per formula unit.

The structure in POSCAR format:
```
Ca5PmPd6
1.0
5.002 0.000 0.000
0.000 7.150 0.000
-2.459 0.000 7.481
Ca Pm Pd
5 1 6
direct
0.000 0.000 0.000 Ca
0.330 0.500 0.659 Ca
0.334 0.000 0.667 Ca
0.666 0.000 0.333 Ca
0.670 0.500 0.341 Ca
0.000 0.500 0.000 Pm
0.162 0.251 0.326 Pd
0.162 0.749 0.326 Pd
0.500 0.260 0.000 Pd
0.500 0.740 0.000 Pd
0.838 0.251 0.674 Pd
0.838 0.749 0.674 Pd
```